[1]
Density functional theory data (PBE) for an optimized crystal structure of Mg2AlTl4.

Calculated values
Energy relative to the elements   0.2420 eV per atom

Unit cell a=5.517 b=5.517 c=14.504 alpha=90.00 beta=90.00 gamma=90.00
Space group I4/mmm (No. 139)
Inequivalent atoms, fractional coordinates:
Mg1 0.000 0.000 0.108 (multiplicity 4)
Al1 0.000 0.000 0.500 (multiplicity 2)
Tl1 0.000 0.000 0.308 (multiplicity 4)
Tl2 0.000 0.500 0.000 (multiplicity 4)

[2]
Density functional theory data (PBE) for an optimized crystal structure of PdIBr3.

Calculated values
Energy above the lowest structure with this stoichiometry   0.241 eV/atom
E_form (uncorrected)   0.09 eV/atom

Unit cell a=5.196 b=5.196 c=5.196 alpha=90.00 beta=90.00 gamma=90.00
Space group Pm-3m (No. 221)
Inequivalent atoms, fractional coordinates:
Pd1 0.000 0.000 0.000 (multiplicity 1)
I1 0.500 0.500 0.500 (multiplicity 1)
Br1 0.000 0.000 0.500 (multiplicity 3)

[3]
Density functional theory data (PBE) for an optimized crystal structure of ScTa3O.

Calculated values
Energy above the lowest structure with this stoichiometry   0.000 eV/atom
E_form (uncorrected)   -0.58 eV/atom

Unit cell a=4.337 b=4.337 c=4.337 alpha=90.00 beta=90.00 gamma=90.00
Space group Pm-3m (No. 221)
Inequivalent atoms, fractional coordinates:
Sc1 0.000 0.000 0.000 (multiplicity 1)
Ta1 0.000 0.500 0.500 (multiplicity 3)
O1 0.500 0.500 0.500 (multiplicity 1)

Number 1: size of the total moment 0.0 μB/cell. Number 2: size of the total moment 1.3 μB/cell. Number 3: size of the total moment 0.0 μB/cell.